# 1
Material: Sc2Zn3Ga
Method: DFT, PBE
State: optimized geometry

Properties
Crystal system = orthorhombic

Unit cell a=3.2142 b=4.3603 c=7.5247 alpha=90.00 beta=90.00 gamma=90.00
Closest atoms and distances in Å follow each position.
Element x y z (fractional)
Sc 0.0000 0.0000 0.0000  10 Zn 2.97-3.00, 2 Ga 2.98, 2 Sc 3.21
Sc 0.0000 0.5000 0.4968  4 Ga 2.98, 8 Zn 2.98-3.00, 2 Sc 3.21
Zn 0.5000 0.0000 0.6688  2 Zn 2.49, 1 Ga 2.53
Zn 0.5000 0.5000 0.1614  1 Zn 2.49, 2 Ga 2.53
Zn 0.5000 0.5000 0.8299  3 Zn 2.49
Ga 0.5000 0.0000 0.3328  3 Zn 2.53

# 2
Material: Mg5ScCd3
Method: DFT, PBE
State: optimized geometry

Properties
Crystal system = hexagonal

Unit cell a=8.6369 b=8.6369 c=6.1508 alpha=90.00 beta=90.00 gamma=120.00
Closest atoms and distances in Å follow each position.
Element x y z (fractional)
Mg 0.0000 0.3397 0.2500  5 Cd 2.87-3.08
Mg 0.0000 0.6603 0.7500  5 Cd 2.87-3.08
Mg 0.3333 0.6667 0.0000  8 Mg 3.08-3.24, 6 Cd 3.30
Mg 0.3333 0.6667 0.5000  8 Mg 3.08-3.24, 6 Cd 3.30
Mg 0.3397 0.0000 0.2500  5 Cd 2.87-3.08
Mg 0.3397 0.3397 0.7500  5 Cd 2.87-3.08
Mg 0.6603 0.0000 0.7500  5 Cd 2.87-3.08
Mg 0.6603 0.6603 0.2500  5 Cd 2.87-3.08
Mg 0.6667 0.3333 0.0000  8 Mg 3.08-3.24, 6 Cd 3.30
Mg 0.6667 0.3333 0.5000  8 Mg 3.08-3.24, 6 Cd 3.30
Sc 0.0000 0.0000 0.0000  2 Sc 3.08, 6 Cd 3.19, 6 Mg 3.31
Sc 0.0000 0.0000 0.5000  2 Sc 3.08, 6 Cd 3.19, 6 Mg 3.31
Cd 0.0000 0.3242 0.7500  5 Mg 2.87-3.08, 2 Sc 3.19
Cd 0.0000 0.6758 0.2500  5 Mg 2.87-3.08, 2 Sc 3.19
Cd 0.3242 0.0000 0.7500  5 Mg 2.87-3.08, 2 Sc 3.19
Cd 0.3242 0.3242 0.2500  5 Mg 2.87-3.08, 2 Sc 3.19
Cd 0.6758 0.0000 0.2500  5 Mg 2.87-3.08, 2 Sc 3.19
Cd 0.6758 0.6758 0.7500  5 Mg 2.87-3.08, 2 Sc 3.19

# 3
Material: Nd6Sm2Tm5
Method: DFT, PBE
State: optimized geometry

Properties
Crystal system = orthorhombic

Unit cell a=11.7723 b=20.4534 c=3.6325 alpha=90.00 beta=90.00 gamma=90.00
Closest atoms and distances in Å follow each position.
Element x y z (fractional)
Nd 0.0581 0.0784 0.0000  5 Nd 3.49-3.77, 6 Tm 3.51-3.68, 1 Sm 3.81
Nd 0.0817 0.3656 0.0000  1 Sm 3.40, 6 Tm 3.43-3.54, 4 Nd 3.53-3.63
Nd 0.1753 0.6286 0.5000  2 Tm 3.33-3.34, 4 Nd 3.53-3.63, 2 Sm 3.70
Nd 0.3247 0.1286 0.5000  2 Tm 3.33-3.34, 4 Nd 3.53-3.63, 2 Sm 3.70
Nd 0.4183 0.8656 0.0000  1 Sm 3.40, 6 Tm 3.43-3.54, 4 Nd 3.53-3.63
Nd 0.4419 0.5784 0.0000  5 Nd 3.49-3.77, 6 Tm 3.51-3.68, 1 Sm 3.81
Nd 0.5581 0.4216 0.0000  5 Nd 3.49-3.77, 6 Tm 3.51-3.68, 1 Sm 3.81
Nd 0.5817 0.1344 0.0000  1 Sm 3.40, 6 Tm 3.43-3.54, 4 Nd 3.53-3.63
Nd 0.6753 0.8714 0.5000  2 Tm 3.33-3.34, 4 Nd 3.53-3.63, 2 Sm 3.70
Nd 0.8247 0.3714 0.5000  2 Tm 3.33-3.34, 4 Nd 3.53-3.63, 2 Sm 3.70
Nd 0.9183 0.6344 0.0000  1 Sm 3.40, 6 Tm 3.43-3.54, 4 Nd 3.53-3.63
Nd 0.9419 0.9216 0.0000  5 Nd 3.49-3.77, 6 Tm 3.51-3.68, 1 Sm 3.81
Sm 0.1647 0.7863 0.0000  3 Nd 3.40-3.70, 6 Tm 3.57-3.73, 2 Sm 3.63
Sm 0.3353 0.2863 0.0000  3 Nd 3.40-3.70, 6 Tm 3.57-3.73, 2 Sm 3.63
Sm 0.6647 0.7137 0.0000  3 Nd 3.40-3.70, 6 Tm 3.57-3.73, 2 Sm 3.63
Sm 0.8353 0.2137 0.0000  3 Nd 3.40-3.70, 6 Tm 3.57-3.73, 2 Sm 3.63
Tm 0.0000 0.5000 0.5000  6 Nd 3.34-3.43, 4 Tm 3.63-3.71
Tm 0.0953 0.2239 0.5000  5 Nd 3.33-3.51, 4 Sm 3.57-3.59, 2 Tm 3.63
Tm 0.1996 0.9445 0.5000  6 Nd 3.54-3.68, 3 Tm 3.63-3.71, 2 Sm 3.73
Tm 0.3004 0.4445 0.5000  6 Nd 3.54-3.68, 3 Tm 3.63-3.71, 2 Sm 3.73
Tm 0.4047 0.7239 0.5000  5 Nd 3.33-3.51, 4 Sm 3.57-3.59, 2 Tm 3.63
Tm 0.5000 0.0000 0.5000  6 Nd 3.34-3.43, 4 Tm 3.63-3.71
Tm 0.5953 0.2761 0.5000  5 Nd 3.33-3.51, 4 Sm 3.57-3.59, 2 Tm 3.63
Tm 0.6996 0.5555 0.5000  6 Nd 3.54-3.68, 3 Tm 3.63-3.71, 2 Sm 3.73
Tm 0.8004 0.0555 0.5000  6 Nd 3.54-3.68, 3 Tm 3.63-3.71, 2 Sm 3.73
Tm 0.9047 0.7761 0.5000  5 Nd 3.33-3.51, 4 Sm 3.57-3.59, 2 Tm 3.63

# 4
Material: Fe2Ni5Pd2
Method: DFT, PBE
State: optimized geometry

Properties
Crystal system = monoclinic

Unit cell a=5.7879 b=5.7879 c=5.8407 alpha=107.43 beta=107.43 gamma=36.34
Closest atoms and distances in Å follow each position.
Element x y z (fractional)
Fe 0.0617 0.0617 0.3201  7 Ni 2.43-2.65, 4 Pd 2.65-2.66
Fe 0.9383 0.9383 0.6799  7 Ni 2.43-2.65, 4 Pd 2.65-2.66
Ni 0.1651 0.1651 0.0079  2 Fe 2.43-2.62, 7 Ni 2.53-2.68, 3 Pd 2.56-2.59
Ni 0.2838 0.2838 0.6717  3 Fe 2.47-2.65, 6 Ni 2.53-2.68, 3 Pd 2.60
Ni 0.5000 0.5000 0.0000  4 Fe 2.53, 6 Ni 2.54-2.55, 2 Pd 2.59
Ni 0.7162 0.7162 0.3283  3 Fe 2.47-2.65, 6 Ni 2.53-2.68, 3 Pd 2.60
Ni 0.8349 0.8349 0.9921  2 Fe 2.43-2.62, 7 Ni 2.53-2.68, 3 Pd 2.56-2.59
Pd 0.3868 0.3868 0.3279  7 Ni 2.56-2.60, 4 Fe 2.65-2.66, 1 Pd 2.66
Pd 0.6132 0.6132 0.6721  7 Ni 2.56-2.60, 4 Fe 2.65-2.66, 1 Pd 2.66

# 5
Material: KSb3O5
Method: DFT, PBE
State: optimized geometry

Properties
Crystal system = monoclinic

Unit cell a=7.1902 b=14.2696 c=8.2794 alpha=90.00 beta=121.29 gamma=90.00
Closest atoms and distances in Å follow each position.
Element x y z (fractional)
K 0.0558 0.2393 0.4427  5 O 2.71-3.01
K 0.0558 0.2607 0.9427  5 O 2.71-3.01
K 0.9442 0.7393 0.0573  5 O 2.71-3.01
K 0.9442 0.7607 0.5573  5 O 2.71-3.01
Sb 0.0135 0.0164 0.7059  3 O 2.01-2.12
Sb 0.0135 0.4836 0.2059  3 O 2.01-2.12
Sb 0.4591 0.6043 0.1445  3 O 2.01-2.05
Sb 0.4591 0.8957 0.6445  3 O 2.01-2.05
Sb 0.4919 0.6423 0.5775  3 O 1.98-2.02
Sb 0.4919 0.8577 0.0775  3 O 1.98-2.02
Sb 0.5081 0.1423 0.9225  3 O 1.98-2.02
Sb 0.5081 0.3577 0.4225  3 O 1.98-2.02
Sb 0.5409 0.1043 0.3555  3 O 2.01-2.05
Sb 0.5409 0.3957 0.8555  3 O 2.01-2.05
Sb 0.9865 0.5164 0.7941  3 O 2.01-2.12
Sb 0.9865 0.9836 0.2941  3 O 2.01-2.12
O 0.1766 0.6330 0.9016  2 Sb 2.02-2.04
O 0.1766 0.8670 0.4016  2 Sb 2.02-2.04
O 0.1983 0.0390 0.5932  1 Sb 2.01
O 0.1983 0.4610 0.0932  1 Sb 2.01
O 0.2527 0.0988 0.9313  2 Sb 1.98-2.12
O 0.2527 0.4012 0.4313  2 Sb 1.98-2.12
O 0.3329 0.6565 0.2929  2 Sb 2.01-2.02
O 0.3329 0.8435 0.7929  2 Sb 2.01-2.02
O 0.3909 0.2268 0.3525  2 Sb 2.01-2.05
O 0.3909 0.2732 0.8525  2 Sb 2.01-2.05
O 0.6091 0.7268 0.1475  2 Sb 2.01-2.05
O 0.6091 0.7732 0.6475  2 Sb 2.01-2.05
O 0.6671 0.1565 0.2071  2 Sb 2.01-2.02
O 0.6671 0.3435 0.7071  2 Sb 2.01-2.02
O 0.7473 0.5988 0.5687  2 Sb 1.98-2.12
O 0.7473 0.9012 0.0687  2 Sb 1.98-2.12
O 0.8017 0.5390 0.9068  1 Sb 2.01
O 0.8017 0.9610 0.4068  1 Sb 2.01
O 0.8234 0.1330 0.5984  2 Sb 2.02-2.04
O 0.8234 0.3670 0.0984  2 Sb 2.02-2.04

# 6
Material: CaPaBO5
Method: DFT, PBE
State: optimized geometry

Properties
Crystal system = monoclinic

Unit cell a=5.5205 b=5.5205 c=7.7570 alpha=102.76 beta=102.76 gamma=105.72
Closest atoms and distances in Å follow each position.
Element x y z (fractional)
Ca 0.1462 0.8538 0.7500  3 O 2.23-2.33
Ca 0.8538 0.1462 0.2500  3 O 2.23-2.33
Pa 0.5000 0.5000 0.0000  6 O 2.13-2.21
Pa 0.5000 0.5000 0.5000  6 O 2.13-2.21
B 0.1828 0.8172 0.2500  4 O 1.51-1.52
B 0.8172 0.1828 0.7500  4 O 1.51-1.52
O 0.0819 0.2411 0.8875  1 B 1.51
O 0.1790 0.6102 0.3511  1 B 1.52
O 0.2411 0.0819 0.3875  1 B 1.51
O 0.3898 0.8210 0.1489  1 B 1.52
O 0.3995 0.6005 0.7500  2 Pa 2.13, 1 Ca 2.23
O 0.6005 0.3995 0.2500  2 Pa 2.13, 1 Ca 2.23
O 0.6102 0.1790 0.8511  1 B 1.52
O 0.7589 0.9181 0.6125  1 B 1.51
O 0.8210 0.3898 0.6489  1 B 1.52
O 0.9181 0.7589 0.1125  1 B 1.51

# 7
Material: CeMgZnNi
Method: DFT, PBE
State: optimized geometry

Properties
Crystal system = cubic

Unit cell a=4.7605 b=4.7605 c=4.7605 alpha=60.00 beta=60.00 gamma=60.00
Closest atoms and distances in Å follow each position.
Element x y z (fractional)
Ce 0.0000 0.0000 0.0000  4 Ni 2.92, 4 Zn 2.92
Mg 0.5000 0.5000 0.5000  4 Ni 2.92, 4 Zn 2.92
Zn 0.2500 0.2500 0.2500  4 Mg 2.92, 4 Ce 2.92
Ni 0.7500 0.7500 0.7500  4 Ce 2.92, 4 Mg 2.92

# 8
Material: CdCuPd2Rh
Method: DFT, PBE
State: optimized geometry

Properties
Crystal system = tetragonal

Unit cell a=4.8593 b=4.8593 c=4.6288 alpha=90.00 beta=90.00 gamma=90.00
Closest atoms and distances in Å follow each position.
Element x y z (fractional)
Cd 0.0000 0.0000 0.0000  8 Pd 3.36, 4 Cu 3.44
Cu 0.5000 0.5000 0.0000  2 Rh 2.31
Pd 0.0000 0.5000 0.5000  2 Rh 2.43
Pd 0.5000 0.0000 0.5000  2 Rh 2.43
Rh 0.5000 0.5000 0.5000  2 Cu 2.31, 4 Pd 2.43

# 9
Material: Th3GeCN
Method: DFT, PBE
State: optimized geometry

Properties
Crystal system = monoclinic

Unit cell a=7.9378 b=4.0356 c=9.0300 alpha=90.00 beta=106.78 gamma=90.00
Closest atoms and distances in Å follow each position.
Element x y z (fractional)
Th 0.0527 0.2500 0.3498  3 C 2.44-2.69
Th 0.2997 0.2500 0.9648  3 N 2.31-2.35
Th 0.3911 0.7500 0.6367  1 N 2.34
Th 0.6089 0.2500 0.3633  1 N 2.34
Th 0.7003 0.7500 0.0352  3 N 2.31-2.35
Th 0.9473 0.7500 0.6502  3 C 2.44-2.69
Ge 0.2931 0.7500 0.2538  7 Th 3.07-3.32
Ge 0.7069 0.2500 0.7462  7 Th 3.07-3.32
C 0.1650 0.2500 0.6319  5 Th 2.44-2.69
C 0.8350 0.7500 0.3681  5 Th 2.44-2.69
N 0.3991 0.7500 0.8976  4 Th 2.31-2.35
N 0.6009 0.2500 0.1024  4 Th 2.31-2.35

# 10
Material: PaCuW
Method: DFT, PBE
State: optimized geometry

Properties
Crystal system = orthorhombic

Unit cell a=14.5587 b=2.9694 c=2.9694 alpha=57.99 beta=90.00 gamma=90.00
Closest atoms and distances in Å follow each position.
Element x y z (fractional)
Pa 0.1804 0.0000 0.0000  6 Pa 2.88-2.97, 1 W 2.88, 3 Cu 3.04-3.18
Pa 0.8196 0.0000 0.0000  6 Pa 2.88-2.97, 1 W 2.88, 3 Cu 3.04-3.18
Cu 0.3573 0.3581 0.3581  3 W 2.67-2.69, 6 Cu 2.88-2.97
Cu 0.6427 0.3581 0.3581  3 W 2.67-2.69, 6 Cu 2.88-2.97
W 0.0000 0.2297 0.2297  6 W 2.88-2.97, 2 Pa 2.88
W 0.5000 0.0341 0.0341  6 Cu 2.67-2.69, 6 W 2.88-2.97

# 11
Material: Pm6SmCo2
Method: DFT, PBE
State: optimized geometry

Properties
Crystal system = orthorhombic

Unit cell a=8.7486 b=8.7486 c=8.7486 alpha=112.99 beta=109.05 gamma=106.44
Closest atoms and distances in Å follow each position.
Element x y z (fractional)
Pm 0.0097 0.2254 0.7842  1 Co 2.78
Pm 0.1929 0.4931 0.3002  2 Co 3.01
Pm 0.1929 0.8926 0.6998  2 Co 3.01
Pm 0.3050 0.3032 0.6081  3 Co 2.75-2.98
Pm 0.3050 0.6968 0.0018  3 Co 2.75-2.98
Pm 0.4412 0.2254 0.2158  1 Co 2.78
Pm 0.5588 0.7746 0.7842  1 Co 2.78
Pm 0.6950 0.3032 0.9982  3 Co 2.75-2.98
Pm 0.6950 0.6968 0.3919  3 Co 2.75-2.98
Pm 0.8071 0.1074 0.3002  2 Co 3.01
Pm 0.8071 0.5069 0.6998  2 Co 3.01
Pm 0.9903 0.7746 0.2158  1 Co 2.78
Sm 0.0000 0.0000 0.0000  8 Pm 3.22-3.53
Sm 0.5000 0.0000 0.5000  12 Pm 3.54-3.75
Co 0.1099 0.5000 0.6099  1 Co 2.23
Co 0.3892 0.3892 0.0000  1 Co 2.32
Co 0.6108 0.6108 0.0000  1 Co 2.32
Co 0.8901 0.5000 0.3901  1 Co 2.23

| no. | magnetic moment (μB/f.u.) | E (eV/atom) |
| --- | --- | --- |
| 1 | 0.00 | -3.6945 |
| 2 | 0.00 | -2.0140 |
| 3 | 0.00 | -4.5429 |
| 4 | 9.49 | -6.2868 |
| 5 | 0.00 | -5.7065 |
| 6 | 0.00 | -8.4139 |
| 7 | 0.00 | -3.8594 |
| 8 | 1.54 | -3.6735 |
| 9 | 0.00 | -8.1989 |
| 10 | 0.00 | -8.3627 |
| 11 | 0.03 | -5.2626 |